(1)
This record from the Alexandria database describes a geometry-optimized BaPd2Pb3 structure. The functional is PBE-GGA.

Cell and atoms, written as extended XYZ:
```
12
Lattice="5.589 -4.613 0.000 5.589 4.613 0.000 0.000 0.000 6.346" Properties=species:S:1:pos:R:3 pbc="T T T"
Ba 5.589 3.331 4.759
Ba 5.589 -3.331 1.586
Pd 3.044 0.000 0.000
Pd 3.044 0.000 3.173
Pd 8.133 0.000 0.000
Pd 8.133 0.000 3.173
Pb 3.597 2.533 1.586
Pb 7.580 2.533 1.586
Pb 5.589 0.114 1.586
Pb 5.589 -0.114 4.759
Pb 3.597 -2.533 4.759
Pb 7.580 -2.533 4.759
```

Properties
Energy relative to the lowest polymorph listed for this composition in meV per atom: 60.9
Energy relative to the elements in eV per atom: -0.341
Space-group type: Cmcm (63)
N(E_F) in states/eV/f.u.: 2.643
Density in g/cm3: 9.9

***

(2)
This record from the Alexandria database describes a geometry-optimized BaPd6Pb2 structure. The functional is PBE-GGA.

Cell and atoms, written as extended XYZ:
```
18
Lattice="0.000 6.069 6.069 6.069 0.000 6.069 6.069 6.069 0.000" Properties=species:S:1:pos:R:3 pbc="T T T"
Ba 1.517 1.517 1.517
Ba 10.621 10.621 10.621
Pd 4.552 4.552 1.459
Pd 4.552 1.459 4.552
Pd 7.645 4.552 4.552
Pd 7.586 7.586 4.493
Pd 7.586 4.493 7.586
Pd 10.679 7.586 7.586
Pd 1.459 4.552 4.552
Pd 4.552 7.645 4.552
Pd 4.552 4.552 7.645
Pd 4.493 7.586 7.586
Pd 7.586 10.679 7.586
Pd 7.586 7.586 10.679
Pb 6.069 3.034 3.034
Pb 3.034 6.069 3.034
Pb 3.034 3.034 6.069
Pb 6.069 6.069 6.069
```

Properties
Energy relative to the elements in eV per atom: 0.042
Space-group type: Fd-3m (227)
N(E_F) in states/eV/f.u.: 3.065
Density in g/cm3: 8.8

***

(3)
This record from the Alexandria database describes a geometry-optimized BaPd3Pb2 structure. The functional is PBE-GGA.

Cell and atoms, written as extended XYZ:
```
12
Lattice="5.344 -4.284 0.000 5.344 4.284 0.000 0.000 0.000 6.560" Properties=species:S:1:pos:R:3 pbc="T T T"
Ba 5.344 2.785 4.920
Ba 5.344 -2.785 1.640
Pd 3.775 2.573 1.640
Pd 6.912 2.573 1.640
Pd 5.344 0.379 1.640
Pd 5.344 -0.379 4.920
Pd 3.775 -2.573 4.920
Pd 6.912 -2.573 4.920
Pb 3.057 0.000 0.000
Pb 3.057 0.000 3.280
Pb 7.630 0.000 0.000
Pb 7.630 0.000 3.280
```

Properties
Energy relative to the lowest polymorph listed for this composition in meV per atom: 21.4
Energy relative to the elements in eV per atom: -0.393
Space-group type: Cmcm (63)
N(E_F) in states/eV/f.u.: 3.999
Density in g/cm3: 9.6

***

(4)
This record from the Alexandria database describes a geometry-optimized Ba2Pd5Pb4 structure. The functional is PBE-GGA.

Cell and atoms, written as extended XYZ:
```
11
Lattice="0.000 5.554 8.305 3.169 0.000 8.305 3.169 5.554 0.000" Properties=species:S:1:pos:R:3 pbc="T T T"
Ba 3.169 5.554 2.228
Ba 3.169 5.554 14.382
Pd 1.585 2.777 0.000
Pd 1.585 2.777 4.152
Pd 1.585 2.777 8.305
Pd 3.169 5.554 8.305
Pd 4.754 8.331 12.457
Pb 3.169 3.761 6.192
Pb 3.169 3.761 10.418
Pb 3.169 7.347 6.192
Pb 3.169 7.347 10.418
```

Properties
Energy relative to the elements in eV per atom: -0.427
Space-group type: Fmmm (69)
N(E_F) in states/eV/f.u.: 5.390
Density in g/cm3: 9.3

***

(5)
This record from the Alexandria database describes a geometry-optimized BaPd3Pb structure. The functional is PBE-GGA.

Cell and atoms, written as extended XYZ:
```
10
Lattice="-3.038 5.395 3.986 3.038 -5.395 3.986 3.038 5.395 -3.986" Properties=species:S:1:pos:R:3 pbc="T T T"
Ba 0.000 2.697 0.606
Ba 3.038 2.697 3.380
Pd 1.519 4.243 -1.993
Pd 1.519 -1.151 1.993
Pd 3.038 2.697 -0.281
Pd 0.000 2.697 4.267
Pd -1.519 6.546 1.993
Pd 1.519 6.546 1.993
Pb 3.038 0.000 0.000
Pb 0.000 0.000 3.986
```

Properties
Energy relative to the lowest polymorph listed for this composition in meV per atom: 56.6
Energy relative to the elements in eV per atom: -0.373
Space-group type: Imma (74)
N(E_F) in states/eV/f.u.: 2.380
Density in g/cm3: 8.4

***

(6)
This record from the Alexandria database describes a geometry-optimized Ba2PdPb3 structure. The functional is PBE-GGA.

Cell and atoms, written as extended XYZ:
```
12
Lattice="12.221 0.000 0.000 0.000 5.286 0.000 -6.018 0.000 6.123" Properties=species:S:1:pos:R:3 pbc="T T T"
Ba 0.000 0.000 0.000
Ba -2.274 0.000 3.710
Ba 6.111 2.643 0.000
Ba 3.837 2.643 3.710
Pd 1.146 0.000 3.410
Pd 7.257 2.643 3.410
Pb -3.588 2.643 5.906
Pb 0.405 2.643 2.465
Pb 3.355 0.000 1.412
Pb 2.523 0.000 5.906
Pb 6.516 0.000 2.465
Pb 9.466 2.643 1.412
```

Properties
Energy relative to the lowest polymorph listed for this composition in meV per atom: 0.0
Energy relative to the elements in eV per atom: -0.508
Space-group type: Cm (8)
N(E_F) in states/eV/f.u.: 2.171
Density in g/cm3: 8.4

***

(7)
This record from the Alexandria database describes a geometry-optimized BaPd4Pb4 structure. The functional is PBE-GGA.

Cell and atoms, written as extended XYZ:
```
18
Lattice="9.389 0.000 0.000 0.000 9.389 0.000 0.000 0.000 5.535" Properties=species:S:1:pos:R:3 pbc="T T T"
Ba 2.347 2.347 1.384
Ba 7.042 7.042 4.151
Pd 0.672 5.510 3.688
Pd 0.815 8.717 0.921
Pd 3.879 5.367 0.921
Pd 4.022 8.574 3.688
Pd 5.367 0.815 1.847
Pd 5.510 4.022 4.614
Pd 8.574 0.672 4.614
Pd 8.717 3.879 1.847
Pb 1.013 5.921 0.911
Pb 1.226 8.376 3.678
Pb 3.468 5.707 3.678
Pb 3.682 8.163 0.911
Pb 5.707 1.226 4.624
Pb 5.921 3.682 1.856
Pb 8.163 1.013 1.856
Pb 8.376 3.468 4.624
```

Properties
Energy relative to the elements in eV per atom: -0.324
Space-group type: P4_2/n (86)
N(E_F) in states/eV/f.u.: 3.422
Density in g/cm3: 9.5

***

(8)
This record from the Alexandria database describes a geometry-optimized Ba5Pd2Pb structure. The functional is PBE-GGA.

Cell and atoms, written as extended XYZ:
```
16
Lattice="-4.409 4.409 8.124 4.409 -4.409 8.124 4.409 4.409 -8.124" Properties=species:S:1:pos:R:3 pbc="T T T"
Ba 0.000 0.000 0.000
Ba 5.912 1.503 -2.196
Ba 1.503 2.905 -2.196
Ba 5.912 1.503 2.196
Ba 1.503 2.905 2.196
Ba 0.000 0.000 8.124
Ba 2.905 1.503 5.928
Ba -1.503 2.905 5.928
Ba 2.905 1.503 10.319
Ba -1.503 2.905 10.319
Pd 3.358 1.050 0.000
Pd 3.358 -1.050 8.124
Pd 1.050 5.459 0.000
Pd 1.050 3.358 8.124
Pb 0.000 0.000 4.062
Pb 0.000 0.000 12.185
```

Properties
Energy relative to the elements in eV per atom: -0.485
Space-group type: I4/mcm (140)
N(E_F) in states/eV/f.u.: 6.363
Density in g/cm3: 5.8

***

(9)
This record from the Alexandria database describes a geometry-optimized Ba2PrPd4Pb3 structure. The functional is PBE-GGA.

Cell and atoms, written as extended XYZ:
```
10
Lattice="4.879 0.000 0.000 0.000 4.879 0.000 0.000 0.000 11.600" Properties=species:S:1:pos:R:3 pbc="T T T"
Ba 0.000 2.439 2.637
Ba 2.439 0.000 8.963
Pr 0.000 0.000 5.800
Pd 0.000 0.000 0.000
Pd 0.000 2.439 7.470
Pd 2.439 0.000 4.130
Pd 2.439 2.439 0.000
Pb 0.000 2.439 10.254
Pb 2.439 0.000 1.345
Pb 2.439 2.439 5.800
```

Properties
Energy relative to the elements in eV per atom: -0.569
Space-group type: P-4m2 (115)
N(E_F) in states/eV/f.u.: 4.914
Density in g/cm3: 8.8

***

(10)
This record from the Alexandria database describes a geometry-optimized Ba2PdPtPb6 structure. The functional is PBE-GGA.

Cell and atoms, written as extended XYZ:
```
20
Lattice="3.726 2.151 13.303 -3.726 2.151 13.303 0.000 -4.302 13.303" Properties=species:S:1:pos:R:3 pbc="T T T"
Ba 0.000 0.000 4.530
Ba 0.000 0.000 11.532
Ba 0.000 0.000 28.377
Ba 0.000 0.000 35.378
Pd 0.000 0.000 17.086
Pd 0.000 0.000 22.822
Pt 0.000 0.000 0.000
Pt 0.000 0.000 19.954
Pb -2.080 -1.201 18.485
Pb 0.000 -1.903 14.855
Pb -1.648 0.952 14.855
Pb -1.648 -0.952 25.053
Pb 0.000 -2.402 21.424
Pb -2.080 1.201 21.424
Pb 2.080 -1.201 18.485
Pb 0.000 2.402 18.485
Pb 1.648 0.952 14.855
Pb 1.648 -0.952 25.053
Pb 0.000 1.903 25.053
Pb 2.080 1.201 21.424
```

Properties
Energy relative to the elements in eV per atom: -0.301
Space-group type: R-3m (166)
N(E_F) in states/eV/f.u.: 5.468
Density in g/cm3: 9.4

***

(11)
This record from the Alexandria database describes a geometry-optimized BaPdPtPb3 structure. The functional is PBE-GGA.

Cell and atoms, written as extended XYZ:
```
12
Lattice="3.739 -7.081 0.000 3.739 7.081 0.000 0.000 0.000 7.259" Properties=species:S:1:pos:R:3 pbc="T T T"
Ba 3.739 4.000 5.444
Ba 3.739 -4.000 1.815
Pd 3.739 6.511 1.815
Pd 3.739 -6.511 5.444
Pt 3.739 1.279 1.815
Pt 3.739 -1.279 5.444
Pb 3.739 3.888 1.815
Pb 2.031 0.000 0.000
Pb 2.031 0.000 3.629
Pb 5.447 0.000 0.000
Pb 5.447 0.000 3.629
Pb 3.739 -3.888 5.444
```

Properties
Energy relative to the elements in eV per atom: -0.235
Space-group type: Cmcm (63)
N(E_F) in states/eV/f.u.: 5.192
Density in g/cm3: 9.2

***

(12)
This record from the Alexandria database describes a geometry-optimized Ba2Pd3PtPb4 structure. The functional is PBE-GGA.

Cell and atoms, written as extended XYZ:
```
10
Lattice="4.945 0.000 0.000 0.000 4.945 0.000 0.000 0.000 11.016" Properties=species:S:1:pos:R:3 pbc="T T T"
Ba 0.000 2.473 2.662
Ba 2.473 0.000 8.354
Pd 0.000 0.000 0.000
Pd 0.000 2.473 6.947
Pd 2.473 0.000 4.069
Pt 2.473 2.473 0.000
Pb 0.000 0.000 5.508
Pb 0.000 2.473 9.734
Pb 2.473 0.000 1.282
Pb 2.473 2.473 5.508
```

Properties
Energy relative to the elements in eV per atom: -0.509
Space-group type: P-4m2 (115)
N(E_F) in states/eV/f.u.: 5.378
Density in g/cm3: 10.0